# 1
## CrCuIr2 (GGA-PBE)

Data for crystalline CrCuIr2 at its relaxed geometry.

Computed properties:
The calculated density is 13.80 Mg/m³. For the formation energy from the elements, the calculation gives 45 kJ per mole of atoms. The density of states at the Fermi level is 0.887 states/eV/atom. Its space group is I-42d (122). Its calculated total energy is -7.3967 eV per atom.

```
CrCuIr2
1.0
-3.409 3.409 2.588
3.409 -3.409 2.588
3.409 3.409 -2.588
Cr Cu Ir
2 2 4
direct
0.000 0.000 0.000
0.750 0.250 0.500
0.250 0.750 0.500
0.500 0.500 0.000
0.083 0.125 0.458
0.375 0.917 0.042
0.667 0.625 0.542
0.875 0.333 0.958
```


# 2
## Cr2Cu2Ir (GGA-PBE)

Data for crystalline Cr2Cu2Ir at its relaxed geometry.

Computed properties:
The calculated density is 10.32 Mg/m³. For the formation energy from the elements, the calculation gives 54 kJ per mole of atoms. The density of states at the Fermi level is 0.864 states/eV/atom. Its space group is I4/mmm (139). Its calculated total energy is -6.6987 eV per atom.

```
Cr2Cu2Ir
1.0
-1.759 1.759 5.505
1.759 -1.759 5.505
1.759 1.759 -5.505
Cr Cu Ir
2 2 1
direct
0.085 0.085 0.000
0.915 0.915 0.000
0.250 0.750 0.500
0.750 0.250 0.500
0.500 0.500 0.000
```


# 3
## CrCuIr4 (GGA-PBE)

Data for crystalline CrCuIr4 at its relaxed geometry.

Computed properties:
The calculated density is 15.32 Mg/m³. For the formation energy from the elements, the calculation gives 46 kJ per mole of atoms. The density of states at the Fermi level is 1.675 states/eV/atom. Its space group is F-43m (216). Its calculated total energy is -7.7211 eV per atom.

```
CrCuIr4
1.0
0.000 3.632 3.632
3.632 0.000 3.632
3.632 3.632 0.000
Cr Cu Ir
1 1 4
direct
0.000 0.000 0.000
0.750 0.750 0.750
0.375 0.375 0.375
0.375 0.375 0.875
0.375 0.875 0.375
0.875 0.375 0.375
```


# 4
## CrCuIr2 (GGA-PBE)

Data for crystalline CrCuIr2 at its relaxed geometry.

Computed properties:
The calculated density is 14.84 Mg/m³. For the formation energy from the elements, the calculation gives 29 kJ per mole of atoms. The density of states at the Fermi level is 1.938 states/eV/atom. Its space group is F-43m (216). Its calculated total energy is -7.5648 eV per atom.

```
CrCuIr2
1.0
0.000 3.036 3.036
3.036 0.000 3.036
3.036 3.036 0.000
Cr Cu Ir
1 1 2
direct
0.000 0.000 0.000
0.250 0.250 0.250
0.500 0.500 0.500
0.750 0.750 0.750
```


# 5
## CrCuIr2 (GGA-PBE)

Data for crystalline CrCuIr2 at its relaxed geometry.

Computed properties:
The calculated density is 15.35 Mg/m³. For the formation energy from the elements, the calculation gives 11 kJ per mole of atoms. The density of states at the Fermi level is 1.528 states/eV/atom. Its space group is R3m (160). Its calculated total energy is -7.7453 eV per atom.

```
CrCuIr2
1.0
1.339 0.773 8.709
-1.339 0.773 8.709
0.000 -1.546 8.709
Cr Cu Ir
1 1 2
direct
0.000 0.000 0.000
0.252 0.252 0.252
0.502 0.502 0.502
0.744 0.744 0.744
```


# 6
## CrCuIr2 (GGA-PBE)

Data for crystalline CrCuIr2 at its relaxed geometry.

Computed properties:
The calculated density is 15.52 Mg/m³. For the formation energy from the elements, the calculation gives -2 kJ per mole of atoms. The density of states at the Fermi level is 1.324 states/eV/atom. Its space group is I4/mmm (139). Its calculated total energy is -7.8799 eV per atom.

```
CrCuIr2
1.0
-1.917 1.917 3.638
1.917 -1.917 3.638
1.917 1.917 -3.638
Cr Cu Ir
1 1 2
direct
0.000 0.000 0.000
0.500 0.500 0.000
0.250 0.750 0.500
0.750 0.250 0.500
```